A relaxed structure of SiH2Br. Source: Alexandria via LeMat-Bulk, functional PBE.

a = 2.5936 Å, b = 3.3637 Å, c = 14.0675 Å
α = 90.00°, β = 90.00°, γ = 90.00°
With the nearest neighbours (Å) after each atom.
Space group Imm2 (No. 44)
Inequivalent atoms, fractional coordinates:
Si 0.0000 0.0000 0.0000 (multiplicity 2)  1 H 1.51
H 0.0000 0.0000 0.8928 (multiplicity 2)  1 Si 1.51
H 0.0000 0.5000 0.0220 (multiplicity 2)  2 Si 1.71
Br 0.0000 0.0000 0.2073 (multiplicity 2)  2 Br 2.59

## Properties
E_tot (eV per atom): -3.25
Crystal system: orthorhombic